# Pr2HoSe4 | Alexandria | PBE | optimized geometry
# Energy above the most stable polymorph in this dataset in kJ/mol of formula units: 0
# Energy in eV/atom: -5.861
# Size of the total moment in μB per formula unit: 0.00
# Space-group type: Imma, No. 74
data_Pr2HoSe4
_chemical_formula_sum 'Pr4 Ho2 Se8'
_symmetry_space_group_name_H-M 'P 1'
_symmetry_Int_Tables_number 1
_cell_length_a 8.312
_cell_length_b 8.312
_cell_length_c 8.312
_cell_angle_alpha 119.90
_cell_angle_beta 118.89
_cell_angle_gamma 91.05
loop_
_symmetry_equiv_pos_as_xyz
'x,y,z'
loop_
_atom_site_label
_atom_site_fract_x
_atom_site_fract_y
_atom_site_fract_z
_atom_site_occupancy
Pr1 0.000 0.000 0.000 1
Pr2 0.500 0.000 0.000 1
Pr3 0.500 0.000 0.500 1
Pr4 0.500 0.500 0.500 1
Ho1 0.000 0.000 0.500 1
Ho2 0.000 0.500 0.000 1
Se1 0.231 0.742 0.489 1
Se2 0.245 0.247 0.502 1
Se3 0.245 0.742 0.998 1
Se4 0.248 0.258 0.989 1
Se5 0.752 0.742 0.011 1
Se6 0.755 0.258 0.002 1
Se7 0.755 0.753 0.498 1
Se8 0.769 0.258 0.511 1



# Pr3Ho4Se8 | Alexandria | PBE | optimized geometry
# Energy in eV/atom: -5.861
# Size of the total moment in μB per formula unit: 0.00
# Space-group type: C2/m, No. 12
data_Pr3Ho4Se8
_chemical_formula_sum 'Pr3 Ho4 Se8'
_symmetry_space_group_name_H-M 'P 1'
_symmetry_Int_Tables_number 1
_cell_length_a 8.292
_cell_length_b 8.292
_cell_length_c 8.261
_cell_angle_alpha 119.82
_cell_angle_beta 119.82
_cell_angle_gamma 90.05
loop_
_symmetry_equiv_pos_as_xyz
'x,y,z'
loop_
_atom_site_label
_atom_site_fract_x
_atom_site_fract_y
_atom_site_fract_z
_atom_site_occupancy
Pr1 0.000 0.000 0.000 1
Pr2 0.000 0.500 0.000 1
Pr3 0.500 0.000 0.000 1
Ho1 0.000 0.500 0.500 1
Ho2 0.500 0.000 0.500 1
Ho3 0.500 0.500 0.000 1
Ho4 0.500 0.500 0.500 1
Se1 0.252 0.748 0.500 1
Se2 0.256 0.744 0.000 1
Se3 0.257 0.257 0.512 1
Se4 0.259 0.259 0.005 1
Se5 0.741 0.741 0.995 1
Se6 0.743 0.743 0.488 1
Se7 0.744 0.256 0.000 1
Se8 0.748 0.252 0.500 1



# Pr2HoSe3 | Alexandria | PBE | optimized geometry
# Energy above the most stable polymorph in this dataset in kJ/mol of formula units: 0
# Energy in eV/atom: -5.905
# Size of the total moment in μB per formula unit: 0.00
# Space-group type: Fddd, No. 70
data_Pr2HoSe3
_chemical_formula_sum 'Pr8 Ho4 Se12'
_symmetry_space_group_name_H-M 'P 1'
_symmetry_Int_Tables_number 1
_cell_length_a 13.759
_cell_length_b 13.125
_cell_length_c 7.302
_cell_angle_alpha 79.09
_cell_angle_beta 69.50
_cell_angle_gamma 31.41
loop_
_symmetry_equiv_pos_as_xyz
'x,y,z'
loop_
_atom_site_label
_atom_site_fract_x
_atom_site_fract_y
_atom_site_fract_z
_atom_site_occupancy
Pr1 0.045 0.045 0.205 1
Pr2 0.123 0.123 0.627 1
Pr3 0.205 0.205 0.045 1
Pr4 0.373 0.373 0.877 1
Pr5 0.627 0.627 0.123 1
Pr6 0.795 0.795 0.955 1
Pr7 0.877 0.877 0.373 1
Pr8 0.955 0.955 0.795 1
Ho1 0.292 0.292 0.458 1
Ho2 0.458 0.458 0.292 1
Ho3 0.542 0.542 0.708 1
Ho4 0.708 0.708 0.542 1
Se1 0.038 0.540 0.225 1
Se2 0.142 0.608 0.608 1
Se3 0.225 0.697 0.038 1
Se4 0.303 0.775 0.460 1
Se5 0.392 0.858 0.858 1
Se6 0.460 0.962 0.303 1
Se7 0.540 0.038 0.697 1
Se8 0.608 0.142 0.142 1
Se9 0.697 0.225 0.540 1
Se10 0.775 0.303 0.962 1
Se11 0.858 0.392 0.392 1
Se12 0.962 0.460 0.775 1



# PrHo6Se8 | Alexandria | PBE | optimized geometry
# Energy above the most stable polymorph in this dataset in kJ/mol of formula units: 265
# Energy in eV/atom: -5.632
# Size of the total moment in μB per formula unit: 0.00
# Space-group type: R-3, No. 148
data_PrHo6Se8
_chemical_formula_sum 'Pr1 Ho6 Se8'
_symmetry_space_group_name_H-M 'P 1'
_symmetry_Int_Tables_number 1
_cell_length_a 7.661
_cell_length_b 7.661
_cell_length_c 7.661
_cell_angle_alpha 69.02
_cell_angle_beta 69.02
_cell_angle_gamma 69.02
loop_
_symmetry_equiv_pos_as_xyz
'x,y,z'
loop_
_atom_site_label
_atom_site_fract_x
_atom_site_fract_y
_atom_site_fract_z
_atom_site_occupancy
Pr1 0.000 0.000 0.000 1
Ho1 0.075 0.458 0.704 1
Ho2 0.296 0.925 0.542 1
Ho3 0.458 0.704 0.075 1
Ho4 0.542 0.296 0.925 1
Ho5 0.704 0.075 0.458 1
Ho6 0.925 0.542 0.296 1
Se1 0.102 0.800 0.375 1
Se2 0.200 0.625 0.898 1
Se3 0.327 0.327 0.327 1
Se4 0.375 0.102 0.800 1
Se5 0.625 0.898 0.200 1
Se6 0.673 0.673 0.673 1
Se7 0.800 0.375 0.102 1
Se8 0.898 0.200 0.625 1